No. 1
VASP calculation (PBE) on crystalline KTaHg at its relaxed geometry.

The excess energy over the best structure of this formula in the dataset is 288 meV per atom. As for the formation energy: 575 meV/atom. As for the density of states at the Fermi level: 0.7206 states/eV/atom.

The structure belongs to space group Pnma (No. 62); the cell edges are 5.212, 4.955 and 13.494 Å and the angles 90.00°, 90.00° and 90.00°. Symmetry generates all atoms from K at (0.250, 0.250, 0.029), Ta at (0.001, 0.250, 0.750) and Hg at (0.249, 0.250, 0.313).

---

No. 2
VASP calculation (PBE) on crystalline Pm2SmIn6 at its relaxed geometry.

As for the formation energy: -458 meV/atom. As for the density of states at the Fermi level: 0.3480 states/eV/atom.

The structure belongs to space group P6/mmm (No. 191); the cell edges are 8.6552, 8.6552 and 3.6827 Å and the angles 90.00°, 90.00° and 120.00°. Symmetry generates all atoms from Pm at (0.3333, 0.6667, 0.0000), Sm at (0.0000, 0.0000, 0.0000) and In at (0.0000, 0.3331, 0.5000).

---

No. 3
VASP calculation (PBE) on crystalline PmPtRhAu at its relaxed geometry.

As for the formation energy: -515 meV/atom. As for the density of states at the Fermi level: 0.7066 states/eV/atom.

The structure belongs to space group F-43m (No. 216); the cell edges are 6.735, 6.735 and 6.735 Å and the angles 90.00°, 90.00° and 90.00°. Symmetry generates all atoms from Pm at (0.000, 0.000, 0.000), Pt at (0.250, 0.250, 0.250), Rh at (0.250, 0.250, 0.750) and Au at (0.000, 0.000, 0.500).

---

No. 4
VASP calculation (PBE) on crystalline Ca3U3CuN8 at its relaxed geometry.

As for the density of states at the Fermi level: 0.5982 states/eV/atom. The uncorrected formation energy comes out at -0.926 eV per atom.

The structure belongs to space group C2/m (No. 12); the cell edges are 11.736, 6.875 and 6.802 Å and the angles 90.00°, 124.69° and 90.00°. Symmetry generates all atoms from Ca at (0.000, 0.000, 0.000), Ca at (0.250, 0.250, 0.500), U at (0.000, 0.500, 0.500), U at (0.250, 0.250, 0.000), Cu at (0.000, 0.000, 0.500), N at (0.025, 0.269, 0.745), N at (0.242, 0.500, 0.759) and N at (0.243, 0.000, 0.792).